(1)
PrDy2Ho8 | PBE-GGA | optimized geometry

Cell lengths 5.474, 8.090, 15.955 Å; angles 90.00, 90.00, 90.00 degrees
Space group Immm (No. 71)
Unique sites:
Pr: 0.000 0.000 0.000 [2 per cell]
Dy: 0.000 0.000 0.301 [4 per cell]
Ho: 0.000 0.205 0.500 [4 per cell]
Ho: 0.000 0.293 0.140 [8 per cell]
Ho: 0.000 0.500 0.337 [4 per cell]

Calculated values
E above lowest polymorph	0.0000	eV/atom
ΔH_f (0 K)	115.4	meV per atom

(2)
UNb2Tc | PBE-GGA | optimized geometry

Cell lengths 3.312, 3.312, 6.570 Å; angles 90.00, 90.00, 90.00 degrees
Space group P4/mmm (No. 123)
Unique sites:
U: 0.000 0.000 0.000 [1 per cell]
Nb: 0.500 0.500 0.259 [2 per cell]
Tc: 0.000 0.000 0.500 [1 per cell]

Calculated values
E above lowest polymorph	0.0391	eV/atom
ΔH_f (0 K)	116.6	meV per atom

(3)
AlSb2TeN | PBE-GGA | optimized geometry

Cell lengths 5.290, 5.290, 5.385 Å; angles 90.00, 90.00, 90.00 degrees
Space group P4/mmm (No. 123)
Unique sites:
Al: 0.000 0.000 0.000 [1 per cell]
Sb: 0.000 0.500 0.000 [2 per cell]
Te: 0.000 0.000 0.500 [1 per cell]
N: 0.500 0.500 0.500 [1 per cell]

Calculated values
formation energy without anion corrections	1.401	eV per atom
E above lowest polymorph	0.7524	eV/atom

(4)
Nd8Tl2Hg3 | PBE-GGA | optimized geometry

Cell lengths 8.997, 16.513, 5.662 Å; angles 90.00, 90.00, 90.00 degrees
Space group Cmmm (No. 65)
Unique sites:
Nd: 0.000 0.105 0.000 [4 per cell]
Nd: 0.000 0.320 0.000 [4 per cell]
Nd: 0.214 0.387 0.500 [8 per cell]
Tl: 0.000 0.226 0.500 [4 per cell]
Hg: 0.000 0.000 0.500 [2 per cell]
Hg: 0.175 0.500 0.000 [4 per cell]

Calculated values
ΔH_f (0 K)	-169.9	meV per atom

(5)
HoMgScIn | PBE-GGA | optimized geometry

Cell lengths 7.295, 7.295, 7.295 Å; angles 90.00, 90.00, 90.00 degrees
Space group F-43m (No. 216)
Unique sites:
Ho: 0.000 0.000 0.000 [4 per cell]
Mg: 0.250 0.250 0.250 [4 per cell]
Sc: 0.000 0.000 0.500 [4 per cell]
In: 0.250 0.250 0.750 [4 per cell]

Calculated values
ΔH_f (0 K)	-296.3	meV per atom

(6)
CaSbRh | PBE-GGA | optimized geometry

Cell lengths 4.484, 14.400, 6.772 Å; angles 90.00, 90.00, 90.00 degrees
Space group Imm2 (No. 44)
Unique sites:
Ca: 0.000 0.000 0.000 [2 per cell]
Ca: 0.000 0.330 0.101 [4 per cell]
Sb: 0.000 0.000 0.536 [2 per cell]
Sb: 0.000 0.336 0.594 [4 per cell]
Rh: 0.000 0.142 0.298 [4 per cell]
Rh: 0.000 0.500 0.821 [2 per cell]

Calculated values
formation energy without anion corrections	-0.747	eV per atom

(7)
GaSb3W | PBE-GGA | optimized geometry

Cell lengths 5.299, 5.299, 5.299 Å; angles 90.00, 90.00, 90.00 degrees
Space group Pm-3m (No. 221)
Unique sites:
Ga: 0.000 0.000 0.000 [1 per cell]
Sb: 0.000 0.500 0.500 [3 per cell]
W: 0.500 0.500 0.500 [1 per cell]

Calculated values
formation energy without anion corrections	0.632	eV per atom
E above lowest polymorph	0.0000	eV/atom

(8)
Zr3BiF | PBE-GGA | optimized geometry

Cell lengths 4.628, 4.628, 4.628 Å; angles 90.00, 90.00, 90.00 degrees
Space group Pm-3m (No. 221)
Unique sites:
Zr: 0.000 0.000 0.500 [3 per cell]
Bi: 0.500 0.500 0.500 [1 per cell]
F: 0.000 0.000 0.000 [1 per cell]

Calculated values
formation energy without anion corrections	-0.618	eV per atom
E above lowest polymorph	0.0000	eV/atom

(9)
TlGa3Pd | PBE-GGA | optimized geometry

Cell lengths 4.896, 4.896, 4.896 Å; angles 90.00, 90.00, 90.00 degrees
Space group Pm-3m (No. 221)
Unique sites:
Tl: 0.000 0.000 0.000 [1 per cell]
Ga: 0.000 0.500 0.500 [3 per cell]
Pd: 0.500 0.500 0.500 [1 per cell]

Calculated values
E above lowest polymorph	0.0000	eV/atom
ΔH_f (0 K)	-86.3	meV per atom

(10)
ErTmOs4 | PBE-GGA | optimized geometry

Cell lengths 7.537, 7.537, 7.537 Å; angles 90.00, 90.00, 90.00 degrees
Space group F-43m (No. 216)
Unique sites:
Er: 0.000 0.000 0.000 [4 per cell]
Tm: 0.250 0.250 0.750 [4 per cell]
Os: 0.125 0.125 0.375 [16 per cell]

Calculated values
ΔH_f (0 K)	-315.8	meV per atom

(11)
BeSbAu3 | PBE-GGA | optimized geometry

Cell lengths 5.245, 5.245, 5.245 Å; angles 90.00, 90.00, 90.00 degrees
Space group Pm-3m (No. 221)
Unique sites:
Be: 0.000 0.000 0.000 [1 per cell]
Sb: 0.500 0.500 0.500 [1 per cell]
Au: 0.000 0.500 0.500 [3 per cell]

Calculated values
formation energy without anion corrections	0.919	eV per atom
E above lowest polymorph	0.7772	eV/atom

(12)
Sr8Tl2Ga | PBE-GGA | optimized geometry

Cell lengths 20.237, 5.846, 8.031 Å; angles 90.00, 109.43, 90.00 degrees
Space group C2/m (No. 12)
Unique sites:
Sr: 0.027 0.000 0.294 [4 per cell]
Sr: 0.095 0.500 0.938 [4 per cell]
Sr: 0.163 0.500 0.459 [4 per cell]
Sr: 0.203 0.000 0.805 [4 per cell]
Tl: 0.180 0.000 0.201 [4 per cell]
Ga: 0.000 0.500 0.500 [2 per cell]

Calculated values
ΔH_f (0 K)	-251.3	meV per atom

Which formula does entry 7 have?
GaSb3W

Repeat the tenth record exactly.
ErTmOs4 | PBE-GGA | optimized geometry

Cell lengths 7.537, 7.537, 7.537 Å; angles 90.00, 90.00, 90.00 degrees
Space group F-43m (No. 216)
Unique sites:
Er: 0.000 0.000 0.000 [4 per cell]
Tm: 0.250 0.250 0.750 [4 per cell]
Os: 0.125 0.125 0.375 [16 per cell]

Calculated values
ΔH_f (0 K)	-315.8	meV per atom